InNi3N: optimized geometry, GGA-PBE.

Results
* VASP energy: -27.52 eV/f.u.
* space-group type: No. 148
* total magnetic moment: 0.00 μB/cell

Structure (POSCAR):
```
InNi3N
1.0
2.4147 1.3941 6.5474
-2.4147 1.3941 6.5474
0.0000 -2.7882 6.5474
In Ni N
2 6 2
Direct
0.1603 0.1603 0.1603 In
0.8397 0.8397 0.8397 In
0.0471 0.7082 0.4087 Ni
0.2918 0.5913 0.9529 Ni
0.4087 0.0471 0.7082 Ni
0.5913 0.9529 0.2918 Ni
0.7082 0.4087 0.0471 Ni
0.9529 0.2918 0.5913 Ni
0.3376 0.3376 0.3376 N
0.6624 0.6624 0.6624 N
```

=====

InNi2N: optimized geometry, GGA-PBE.

Results
* offset from the most stable computed form: 867 meV per atom
* VASP energy: -18.60 eV/f.u.
* space-group type: No. 225
* total magnetic moment: 1.52 μB/cell

Structure (POSCAR):
```
InNi2N
1.0
0.0000 2.9385 2.9385
2.9385 0.0000 2.9385
2.9385 2.9385 0.0000
In Ni N
1 2 1
Direct
0.0000 0.0000 0.0000 In
0.2500 0.2500 0.2500 Ni
0.7500 0.7500 0.7500 Ni
0.5000 0.5000 0.5000 N
```

=====

InNi3N: optimized geometry, GGA-PBE.

Results
* VASP energy: -27.55 eV/f.u.
* space-group type: No. 62
* total magnetic moment: 0.00 μB/cell

Structure (POSCAR):
```
InNi3N
1.0
4.6272 0.0000 0.0000
0.0000 8.9732 0.0000
0.0000 0.0000 6.4962
In Ni N
4 12 4
Direct
0.0000 0.0000 0.0000 In
0.0000 0.5000 0.0000 In
0.5000 0.0000 0.5000 In
0.5000 0.5000 0.5000 In
0.0003 0.1125 0.3684 Ni
0.0003 0.3875 0.3684 Ni
0.9997 0.6125 0.6316 Ni
0.9997 0.8875 0.6316 Ni
0.1875 0.2500 0.7001 Ni
0.3125 0.7500 0.2001 Ni
0.5003 0.1125 0.1316 Ni
0.5003 0.3875 0.1316 Ni
0.4997 0.6125 0.8684 Ni
0.4997 0.8875 0.8684 Ni
0.6875 0.2500 0.7999 Ni
0.8125 0.7500 0.2999 Ni
0.1361 0.7500 0.4529 N
0.3639 0.2500 0.9529 N
0.6361 0.7500 0.0471 N
0.8639 0.2500 0.5471 N
```

=====

InNi3N: optimized geometry, GGA-PBE.

Results
* VASP energy: -27.99 eV/f.u.
* space-group type: No. 15
* total magnetic moment: 0.00 μB/cell

Structure (POSCAR):
```
InNi3N
1.0
5.2507 -4.3489 0.0000
5.2507 4.3489 0.0000
-1.5226 0.0000 5.4248
In Ni N
4 12 4
Direct
0.0033 0.9967 0.7500 In
0.3888 0.6112 0.7500 In
0.6112 0.3888 0.2500 In
0.9967 0.0033 0.2500 In
0.0588 0.6394 0.4134 Ni
0.0623 0.6531 0.9433 Ni
0.2950 0.2970 0.9069 Ni
0.2970 0.2950 0.4069 Ni
0.3469 0.9377 0.5567 Ni
0.3606 0.9412 0.0866 Ni
0.6394 0.0588 0.9134 Ni
0.6531 0.0623 0.4433 Ni
0.7030 0.7050 0.5931 Ni
0.7050 0.7030 0.0931 Ni
0.9377 0.3469 0.0567 Ni
0.9412 0.3606 0.5866 Ni
0.1763 0.4600 0.1712 N
0.4600 0.1763 0.6712 N
0.5400 0.8237 0.3288 N
0.8237 0.5400 0.8288 N
```

=====

InNi3N: optimized geometry, GGA-PBE.

Results
* VASP energy: -28.45 eV/f.u.
* space-group type: No. 26
* total magnetic moment: 0.00 μB/cell

Structure (POSCAR):
```
InNi3N
1.0
3.7678 0.0000 0.0000
0.0000 6.0338 0.0000
0.0000 0.0000 5.5398
In Ni N
2 6 2
Direct
0.0000 0.1450 0.0000 In
0.0000 0.8550 0.5000 In
0.0000 0.4031 0.5943 Ni
0.0000 0.5969 0.0943 Ni
0.5000 0.1056 0.6637 Ni
0.5000 0.3290 0.2700 Ni
0.5000 0.6710 0.7700 Ni
0.5000 0.8944 0.1637 Ni
0.5000 0.4045 0.5953 N
0.5000 0.5955 0.0953 N
```

=====

InNi3N: optimized geometry, GGA-PBE.

Results
* VASP energy: -27.96 eV/f.u.
* space-group type: No. 11
* total magnetic moment: 0.00 μB/cell

Structure (POSCAR):
```
InNi3N
1.0
4.3505 0.0000 0.0000
0.0000 5.4195 0.0000
-0.3866 0.0000 5.1870
In Ni N
2 6 2
Direct
0.2306 0.2500 0.3707 In
0.7694 0.7500 0.6293 In
0.2452 0.7500 0.3416 Ni
0.2597 0.5069 0.8416 Ni
0.2597 0.9931 0.8416 Ni
0.7403 0.0069 0.1584 Ni
0.7403 0.4931 0.1584 Ni
0.7548 0.2500 0.6584 Ni
0.4613 0.7500 0.0553 N
0.5387 0.2500 0.9447 N
```

=====

InNi3N: optimized geometry, GGA-PBE.

Results
* VASP energy: -26.67 eV/f.u.
* space-group type: No. 38
* total magnetic moment: 0.00 μB/cell

Structure (POSCAR):
```
InNi3N
1.0
2.8149 0.0000 0.0000
0.0000 2.3717 6.5196
0.0000 -2.3717 6.5196
In Ni N
1 3 1
Direct
0.0000 0.0000 0.0000 In
0.0000 0.4314 0.9319 Ni
0.0000 0.9319 0.4314 Ni
0.5000 0.8340 0.8340 Ni
0.5000 0.6963 0.6963 N
```

=====

InNi3N: optimized geometry, GGA-PBE.

Results
* VASP energy: -24.50 eV/f.u.
* space-group type: No. 119
* total magnetic moment: 1.11 μB/cell

Structure (POSCAR):
```
InNi3N
1.0
-2.1790 2.1790 9.3221
2.1790 -2.1790 9.3221
2.1790 2.1790 -9.3221
In Ni N
2 6 2
Direct
0.0000 0.0000 0.0000 In
0.7500 0.2500 0.5000 In
0.3528 0.3528 0.0000 Ni
0.3716 0.1236 0.2479 Ni
0.6472 0.6472 0.0000 Ni
0.8764 0.1243 0.2479 Ni
0.8757 0.1236 0.7521 Ni
0.8764 0.6284 0.7521 Ni
0.2189 0.7189 0.5000 N
0.2811 0.7811 0.5000 N
```